No. 1
Material: ScCuSnPd
Method: DFT, PBE-GGA
State: optimized geometry

Computed properties:
Energy above the lowest structure with this stoichiometry = 0.000 eV/atom

Lattice parameters (Å, degrees): 6.5172 6.5172 6.5172 90.00 90.00 90.00
With the nearest neighbours (Å) after each atom.
Space group F-43m (No. 216)
Symmetry-distinct sites (fractional):
1 Sc 0.0000 0.0000 0.0000  4 Cu 2.82, 4 Pd 2.82
2 Cu 0.2500 0.2500 0.2500  4 Sn 2.82, 4 Sc 2.82
3 Sn 0.0000 0.0000 0.5000  4 Cu 2.82, 4 Pd 2.82
4 Pd 0.2500 0.2500 0.7500  4 Sn 2.82, 4 Sc 2.82

=====

No. 2
Material: LiGa2CuSe4
Method: DFT, PBE-GGA
State: optimized geometry

Computed properties:
E_tot = -3.90 eV per atom

Lattice parameters (Å, degrees): 5.7617 5.7617 11.1316 90.00 90.00 90.00
With the nearest neighbours (Å) after each atom.
Space group I-4 (No. 82)
Symmetry-distinct sites (fractional):
1 Li 0.0000 0.0000 0.0000  4 Se 2.52
2 Ga 0.0000 0.0000 0.5000  4 Se 2.45
3 Ga 0.0000 0.5000 0.7500  4 Se 2.46
4 Cu 0.0000 0.5000 0.2500  4 Se 2.44
5 Se 0.2435 0.2459 0.3724  1 Cu 2.44, 2 Ga 2.45-2.46, 1 Li 2.52

=====

No. 3
Material: Lu4Ta2Cu3C3
Method: DFT, PBE-GGA
State: optimized geometry

Computed properties:
E_tot = -6.82 eV per atom

Lattice parameters (Å, degrees): 9.8965 5.7349 15.0285 90.00 101.09 90.00
With the nearest neighbours (Å) after each atom.
Space group C2/c (No. 15)
Symmetry-distinct sites (fractional):
1 Lu 0.1116 0.0694 0.0930  3 C 2.38-2.41
2 Lu 0.2155 0.0904 0.4067  3 C 2.39-2.41
3 Ta 0.0684 0.4106 0.9234  3 C 2.13-2.15
4 Cu 0.0000 0.0607 0.2500  4 Lu 2.79-2.86, 4 Cu 2.83-2.91
5 Cu 0.2323 0.3484 0.2492  4 Lu 2.82-2.90, 4 Cu 2.83-2.91
6 C 0.0745 0.2767 0.5002  2 Ta 2.13
7 C 0.2500 0.2500 0.0000  2 Ta 2.15, 4 Lu 2.38-2.39

=====

No. 4
Material: KCuWS3
Method: DFT, PBE-GGA
State: optimized geometry

Computed properties:
E_tot = -5.56 eV per atom

Lattice parameters (Å, degrees): 3.4834 14.4864 9.3856 90.00 90.00 90.00
With the nearest neighbours (Å) after each atom.
Space group Cmcm (No. 63)
Symmetry-distinct sites (fractional):
1 K 0.0000 0.2488 0.2500  8 S 3.17-3.36, 2 K 3.48
2 Cu 0.0000 0.0374 0.7500  4 S 2.25-2.30
3 W 0.0000 0.5000 0.0000  6 S 2.48-2.53
4 S 0.0000 0.1183 0.5455  1 Cu 2.25, 2 W 2.48
5 S 0.0000 0.4339 0.7500  2 Cu 2.30, 2 W 2.53

=====

No. 5
Material: NbTlSb
Method: DFT, PBE-GGA
State: optimized geometry

Computed properties:
Energy above the lowest structure with this stoichiometry = 0.242 eV/atom

Lattice parameters (Å, degrees): 6.8809 6.8809 6.8809 90.00 90.00 90.00
With the nearest neighbours (Å) after each atom.
Space group F-43m (No. 216)
Symmetry-distinct sites (fractional):
1 Nb 0.0000 0.0000 0.0000  4 Sb 2.98
2 Tl 0.0000 0.0000 0.5000  4 Sb 2.98
3 Sb 0.2500 0.2500 0.2500  4 Tl 2.98, 4 Nb 2.98

=====

No. 6
Material: Nd2GdCd3Cu2Ag
Method: DFT, PBE-GGA
State: optimized geometry

Computed properties:
Calculated formation energy = -0.294 eV per atom

Lattice parameters (Å, degrees): 3.9538 13.5147 7.7855 90.00 90.00 90.00
With the nearest neighbours (Å) after each atom.
Space group Amm2 (No. 38)
Symmetry-distinct sites (fractional):
1 Nd 0.0000 0.2057 0.0000  4 Cu 3.09, 1 Ag 3.21, 6 Cd 3.22-3.45
2 Gd 0.0000 0.0000 0.3825  4 Cu 3.05, 2 Cd 3.19, 1 Ag 3.19
3 Cd 0.5000 0.0000 0.0605  2 Ag 2.87, 2 Cu 2.87, 2 Gd 3.19
4 Cd 0.5000 0.1308 0.6604  2 Ag 2.85, 2 Cu 2.88-2.97
5 Cu 0.5000 0.1640 0.2956  3 Cd 2.87-2.97, 2 Gd 3.05, 4 Nd 3.09
6 Ag 0.0000 0.0000 0.7926  6 Cd 2.85-2.87